Na3Pa3Te8Au: relaxed, GGA-PBE.

Results
For the density of states at the Fermi level, the calculation gives 15.9 states/eV/f.u. Its energy relative to the elements, uncorrected is -70.60 kJ per mole of atoms.

a = 14.504 Å, b = 9.172 Å, c = 8.880 Å
α = 90.00°, β = 121.20°, γ = 90.00°
Space group C2/m (No. 12)
One atom of each set of equivalent atoms:
Na 0.000 0.000 0.000 [2 per cell]
Na 0.250 0.250 0.000 [4 per cell]
Pa 0.000 0.500 0.500 [2 per cell]
Pa 0.250 0.250 0.500 [4 per cell]
Te 0.011 0.277 0.254 [8 per cell]
Te 0.218 0.000 0.710 [4 per cell]
Te 0.249 0.500 0.739 [4 per cell]
Au 0.000 0.000 0.500 [2 per cell]

---

Pm7TlCo2: relaxed, GGA-PBE.

Results
For the density of states at the Fermi level, the calculation gives 7.4 states/eV/f.u.

a = 9.165 Å, b = 13.620 Å, c = 5.058 Å
α = 90.00°, β = 90.00°, γ = 90.00°
Space group Cmmm (No. 65)
One atom of each set of equivalent atoms:
Pm 0.000 0.000 0.000 [2 per cell]
Pm 0.000 0.205 0.500 [4 per cell]
Pm 0.182 0.369 0.000 [8 per cell]
Tl 0.000 0.500 0.500 [2 per cell]
Co 0.000 0.201 0.000 [4 per cell]

---

Np2PtO8: relaxed, GGA-PBE.

Results
For the density of states at the Fermi level, the calculation gives 6.2 states/eV/f.u. Its energy relative to the elements, uncorrected is -169.61 kJ per mole of atoms.

a = 15.290 Å, b = 5.002 Å, c = 4.523 Å
α = 90.00°, β = 95.23°, γ = 90.00°
Space group C2/m (No. 12)
One atom of each set of equivalent atoms:
Np 0.157 0.000 0.420 [4 per cell]
Pt 0.000 0.000 0.000 [2 per cell]
O 0.059 0.247 0.309 [8 per cell]
O 0.130 0.000 0.884 [4 per cell]
O 0.216 0.500 0.487 [4 per cell]

---

Sr2BeSb: relaxed, GGA-PBE.

Results
For the energy above the most stable polymorph in this dataset, the calculation gives 0 meV per atom. For the density of states at the Fermi level, the calculation gives 1.8 states/eV/f.u. Its energy relative to the elements, uncorrected is -36.14 kJ per mole of atoms.

a = 4.317 Å, b = 4.769 Å, c = 12.084 Å
α = 90.00°, β = 90.00°, γ = 90.00°
Space group Amm2 (No. 38)
One atom of each set of equivalent atoms:
Sr 0.000 0.000 0.000 [2 per cell]
Sr 0.500 0.000 0.285 [2 per cell]
Be 0.500 0.000 0.578 [2 per cell]
Sb 0.000 0.000 0.702 [2 per cell]

---

| no. | E_tot (eV per cell) |
| --- | --- |
| 1 | -143.7 |
| 2 | -99.5 |
| 3 | -181.8 |
| 4 | -25.4 |